[1]
Compound: Pm4Ho2Er5
Source: the Alexandria database
Functional: PBE-GGA
Structure: relaxed

Cell and atoms, written as CIF:
```
data_Pm4Ho2Er5
_symmetry_space_group_name_H-M 'C 1 2/m 1'
_symmetry_Int_Tables_number 12
_cell_length_a 23.907
_cell_length_b 3.504
_cell_length_c 8.830
_cell_angle_alpha 90.00
_cell_angle_beta 99.62
_cell_angle_gamma 90.00
loop_
_symmetry_equiv_pos_as_xyz
'x,y,z'
'-x,-y,-z'
'-x,y,-z'
'x,-y,z'
'x+1/2,y+1/2,z'
'-x+1/2,-y+1/2,-z'
'-x+1/2,y+1/2,-z'
'x+1/2,-y+1/2,z'
loop_
_atom_site_label
_atom_site_type_symbol
_atom_site_fract_x
_atom_site_fract_y
_atom_site_fract_z
Pm1 Pm 0.028 0.000 0.193
Pm2 Pm 0.130 0.500 0.034
Ho1 Ho 0.102 0.000 0.691
Er1 Er 0.000 0.500 0.500
Er2 Er 0.182 0.000 0.400
Er3 Er 0.231 0.000 0.828
```

Calculated values
The density is 7.95 g/cm³. The calculation puts the total magnetic moment at 0.00 μB/f.u. The offset from the most stable computed form is 1.33 eV/f.u. Its density of states at the Fermi level is 1.5095 states/eV/atom.

=====

[2]
Compound: Pm3HoEr2
Source: the Alexandria database
Functional: PBE-GGA
Structure: relaxed

Cell and atoms, written as CIF:
```
data_Pm3HoEr2
_symmetry_space_group_name_H-M 'P -1'
_symmetry_Int_Tables_number 2
_cell_length_a 7.214
_cell_length_b 7.221
_cell_length_c 8.904
_cell_angle_alpha 78.26
_cell_angle_beta 78.20
_cell_angle_gamma 60.07
loop_
_symmetry_equiv_pos_as_xyz
'x,y,z'
'-x,-y,-z'
loop_
_atom_site_label
_atom_site_type_symbol
_atom_site_fract_x
_atom_site_fract_y
_atom_site_fract_z
Pm1 Pm 0.139 0.139 0.166
Pm2 Pm 0.140 0.638 0.165
Pm3 Pm 0.252 0.249 0.503
Ho1 Ho 0.252 0.748 0.502
Er1 Er 0.363 0.860 0.834
Er2 Er 0.364 0.361 0.832
```

Calculated values
The density is 7.94 g/cm³. The value obtained for the energy is -55.9 eV per cell. The calculation puts the total magnetic moment at 0.00 μB/f.u. Its density of states at the Fermi level is 1.2522 states/eV/atom.

=====

[3]
Compound: Pm11Ho4Er9
Source: the Alexandria database
Functional: PBE-GGA
Structure: relaxed

Cell and atoms, written as CIF:
```
data_Pm11Ho4Er9
_symmetry_space_group_name_H-M 'C m m m'
_symmetry_Int_Tables_number 65
_symmetry_space_group_name_Hall '-C 2 2'
_cell_length_a 16.850
_cell_length_b 25.544
_cell_length_c 3.642
_cell_angle_alpha 90.00
_cell_angle_beta 90.00
_cell_angle_gamma 90.00
loop_
_atom_site_label
_atom_site_type_symbol
_atom_site_fract_x
_atom_site_fract_y
_atom_site_fract_z
Pm1 Pm 0.000 0.000 0.000
Pm2 Pm 0.000 0.161 0.000
Pm3 Pm 0.000 0.368 0.000
Pm4 Pm 0.208 0.500 0.000
Pm5 Pm 0.224 0.181 0.000
Ho1 Ho 0.157 0.398 0.500
Er1 Er 0.000 0.500 0.500
Er2 Er 0.102 0.267 0.500
Er3 Er 0.141 0.073 0.500
```

Calculated values
The density is 7.97 g/cm³. The value obtained for the energy is -220.7 eV per cell. The calculation puts the total magnetic moment at 0.00 μB/f.u. Its density of states at the Fermi level is 1.2489 states/eV/atom.

=====

[4]
Compound: PmHo2Er8
Source: the Alexandria database
Functional: PBE-GGA
Structure: relaxed

Cell and atoms, written as CIF:
```
data_PmHo2Er8
_symmetry_space_group_name_H-M 'I m m m'
_symmetry_Int_Tables_number 71
_symmetry_space_group_name_Hall '-I 2 2'
_cell_length_a 5.441
_cell_length_b 8.039
_cell_length_c 15.845
_cell_angle_alpha 90.00
_cell_angle_beta 90.00
_cell_angle_gamma 90.00
loop_
_atom_site_label
_atom_site_type_symbol
_atom_site_fract_x
_atom_site_fract_y
_atom_site_fract_z
Pm1 Pm 0.000 0.000 0.000
Ho1 Ho 0.000 0.000 0.300
Er1 Er 0.000 0.205 0.500
Er2 Er 0.000 0.293 0.140
Er3 Er 0.000 0.500 0.337
```

Calculated values
The density is 8.69 g/cm³. The calculation puts the total magnetic moment at 0.00 μB/f.u. The offset from the most stable computed form is 1.03 eV/f.u. Its density of states at the Fermi level is 1.3438 states/eV/atom.

=====

[5]
Compound: Pm6HoEr12
Source: the Alexandria database
Functional: PBE-GGA
Structure: relaxed

Cell and atoms, written as CIF:
```
data_Pm6HoEr12
_symmetry_space_group_name_H-M 'R -3 m'
_symmetry_Int_Tables_number 166
_symmetry_space_group_name_Hall '-R 3 2"'
_cell_length_a 11.0347
_cell_length_b 11.0347
_cell_length_c 17.4037
_cell_angle_alpha 90.00
_cell_angle_beta 90.00
_cell_angle_gamma 120.00
loop_
_atom_site_label
_atom_site_type_symbol
_atom_site_fract_x
_atom_site_fract_y
_atom_site_fract_z
Pm1 Pm 0.0697 0.5349 0.2672
Ho1 Ho 0.0000 0.0000 0.5000
Er1 Er 0.1009 0.5504 0.9136
Er2 Er 0.1061 0.2122 0.9077
```

Calculated values
The density is 8.26 g/cm³. The calculation puts the total magnetic moment at 0.02 μB/f.u. The offset from the most stable computed form is 0.00 eV/f.u. Its density of states at the Fermi level is 1.5166 states/eV/atom.

=====

[6]
Compound: PmHo7Er2
Source: the Alexandria database
Functional: PBE-GGA
Structure: relaxed

Cell and atoms, written as CIF:
```
data_PmHo7Er2
_symmetry_space_group_name_H-M 'C m m m'
_symmetry_Int_Tables_number 65
_symmetry_space_group_name_Hall '-C 2 2'
_cell_length_a 8.703
_cell_length_b 16.057
_cell_length_c 5.568
_cell_angle_alpha 90.00
_cell_angle_beta 90.00
_cell_angle_gamma 90.00
loop_
_atom_site_label
_atom_site_type_symbol
_atom_site_fract_x
_atom_site_fract_y
_atom_site_fract_z
Pm1 Pm 0.000 0.000 0.000
Ho1 Ho 0.000 0.215 0.000
Ho2 Ho 0.000 0.500 0.500
Ho3 Ho 0.177 0.115 0.500
Er1 Er 0.000 0.297 0.500
```

Calculated values
The density is 6.97 g/cm³. The calculation puts the total magnetic moment at 0.00 μB/f.u. The offset from the most stable computed form is 6.84 eV/f.u. Its density of states at the Fermi level is 1.4640 states/eV/atom.

=====

[7]
Compound: PmHoEr6
Source: the Alexandria database
Functional: PBE-GGA
Structure: relaxed

Cell and atoms, written as CIF:
```
data_PmHoEr6
_symmetry_space_group_name_H-M 'R -3 m'
_symmetry_Int_Tables_number 166
_symmetry_space_group_name_Hall '-R 3 2"'
_cell_length_a 11.4411
_cell_length_b 11.4411
_cell_length_c 6.7130
_cell_angle_alpha 90.00
_cell_angle_beta 90.00
_cell_angle_gamma 120.00
loop_
_atom_site_label
_atom_site_type_symbol
_atom_site_fract_x
_atom_site_fract_y
_atom_site_fract_z
Pm1 Pm 0.0000 0.0000 0.0000
Ho1 Ho 0.0000 0.0000 0.5000
Er1 Er 0.0023 0.5012 0.2508
```

Calculated values
The density is 8.60 g/cm³. The calculation puts the total magnetic moment at 0.22 μB/f.u. The offset from the most stable computed form is 0.32 eV/f.u. Its density of states at the Fermi level is 2.0766 states/eV/atom.

=====

[8]
Compound: Pm8HoEr5
Source: the Alexandria database
Functional: PBE-GGA
Structure: relaxed

Cell and atoms, written as CIF:
```
data_Pm8HoEr5
_symmetry_space_group_name_H-M 'I -4'
_symmetry_Int_Tables_number 82
_cell_length_a 9.641
_cell_length_b 9.641
_cell_length_c 10.229
_cell_angle_alpha 90.00
_cell_angle_beta 90.00
_cell_angle_gamma 90.00
loop_
_symmetry_equiv_pos_as_xyz
'x,y,z'
'y,-x,-z'
'-x,-y,z'
'-y,x,-z'
'x+1/2,y+1/2,z+1/2'
'y+1/2,-x+1/2,-z+1/2'
'-x+1/2,-y+1/2,z+1/2'
'-y+1/2,x+1/2,-z+1/2'
loop_
_atom_site_label
_atom_site_type_symbol
_atom_site_fract_x
_atom_site_fract_y
_atom_site_fract_z
Pm1 Pm 0.069 0.327 0.405
Pm2 Pm 0.089 0.177 0.747
Ho1 Ho 0.000 0.500 0.750
Er1 Er 0.000 0.000 0.500
Er2 Er 0.109 0.205 0.074
```

Calculated values
The density is 7.55 g/cm³. The value obtained for the energy is -123.7 eV per cell. The calculation puts the total magnetic moment at 0.00 μB/f.u. Its density of states at the Fermi level is 1.4804 states/eV/atom.